No. 1
Density functional theory data (PBEsol) for Cu2TcSe after structural relaxation.

Cell and atoms, written as CIF:
```
data_Cu2TcSe
_chemical_formula_sum 'Cu2 Tc1 Se1'
_space_group_name_H-M_alt 'P m m m'
_space_group_IT_number 47
_cell_length_a 2.602
_cell_length_b 3.988
_cell_length_c 5.312
_cell_angle_alpha 90.00
_cell_angle_beta 90.00
_cell_angle_gamma 90.00
loop_
_space_group_symop_operation_xyz
'x,y,z'
'-x,-y,-z'
'-x,-y,z'
'x,y,-z'
'x,-y,-z'
'-x,y,z'
'-x,y,-z'
'x,-y,z'
loop_
_atom_site_label
_atom_site_type_symbol
_atom_site_fract_x
_atom_site_fract_y
_atom_site_fract_z
Cu1 Cu 0.000 0.000 0.232
Tc1 Tc 0.500 0.500 0.000
Se1 Se 0.500 0.500 0.500
```


No. 2
# LaSc2GeC PBEsol relaxed
# E_form	0.987	eV per atom
data_LaSc2GeC
_chemical_formula_sum 'La1 Sc2 Ge1 C1'
_space_group_name_H-M_alt 'P 4/m m m'
_space_group_IT_number 123
_space_group_name_Hall '-P 4 2'
_cell_length_a 4.886
_cell_length_b 4.886
_cell_length_c 5.617
_cell_angle_alpha 90.00
_cell_angle_beta 90.00
_cell_angle_gamma 90.00
loop_
_atom_site_label
_atom_site_type_symbol
_atom_site_fract_x
_atom_site_fract_y
_atom_site_fract_z
La1 La 0.000 0.000 0.000
Sc1 Sc 0.000 0.500 0.500
Ge1 Ge 0.000 0.000 0.500
C1 C 0.500 0.500 0.000


No. 3
# Li3ZnAg PBEsol relaxed
# E_form	0.308	eV per atom
data_Li3ZnAg
_chemical_formula_sum 'Li3 Zn1 Ag1'
_space_group_name_H-M_alt 'P m -3 m'
_space_group_IT_number 221
_space_group_name_Hall '-P 4 2 3'
_cell_length_a 4.612
_cell_length_b 4.612
_cell_length_c 4.612
_cell_angle_alpha 90.00
_cell_angle_beta 90.00
_cell_angle_gamma 90.00
loop_
_atom_site_label
_atom_site_type_symbol
_atom_site_fract_x
_atom_site_fract_y
_atom_site_fract_z
Li1 Li 0.000 0.000 0.500
Zn1 Zn 0.000 0.000 0.000
Ag1 Ag 0.500 0.500 0.500


No. 4
Density functional theory data (PBEsol) for BI3Cl after structural relaxation.

Cell and atoms, written as CIF:
```
data_BI3Cl
_chemical_formula_sum 'B1 I3 Cl1'
_space_group_name_H-M_alt 'P m -3 m'
_space_group_IT_number 221
_space_group_name_Hall '-P 4 2 3'
_cell_length_a 4.999
_cell_length_b 4.999
_cell_length_c 4.999
_cell_angle_alpha 90.00
_cell_angle_beta 90.00
_cell_angle_gamma 90.00
loop_
_atom_site_label
_atom_site_type_symbol
_atom_site_fract_x
_atom_site_fract_y
_atom_site_fract_z
B1 B 0.000 0.000 0.000
I1 I 0.000 0.000 0.500
Cl1 Cl 0.500 0.500 0.500
```


No. 5
# InTcAs2 PBEsol relaxed
# E_form	0.559	eV per atom
data_InTcAs2
_chemical_formula_sum 'In4 Tc4 As8'
_space_group_name_H-M_alt 'F -4 3 m'
_space_group_IT_number 216
_space_group_name_Hall 'F -4 2 3'
_cell_length_a 6.521
_cell_length_b 6.521
_cell_length_c 6.521
_cell_angle_alpha 90.00
_cell_angle_beta 90.00
_cell_angle_gamma 90.00
loop_
_atom_site_label
_atom_site_type_symbol
_atom_site_fract_x
_atom_site_fract_y
_atom_site_fract_z
In1 In 0.000 0.000 0.000
Tc1 Tc 0.250 0.250 0.750
As1 As 0.000 0.000 0.500
As2 As 0.250 0.250 0.250


No. 6
# ScTa2Co PBEsol relaxed
# E_form	0.092	eV per atom
data_ScTa2Co
_chemical_formula_sum 'Sc2 Ta4 Co2'
_space_group_name_H-M_alt 'I m m 2'
_space_group_IT_number 44
_cell_length_a 3.067
_cell_length_b 4.744
_cell_length_c 8.961
_cell_angle_alpha 90.00
_cell_angle_beta 90.00
_cell_angle_gamma 90.00
loop_
_space_group_symop_operation_xyz
'x,y,z'
'-x,-y,z'
'-x,y,z'
'x,-y,z'
'x+1/2,y+1/2,z+1/2'
'-x+1/2,-y+1/2,z+1/2'
'-x+1/2,y+1/2,z+1/2'
'x+1/2,-y+1/2,z+1/2'
loop_
_atom_site_label
_atom_site_type_symbol
_atom_site_fract_x
_atom_site_fract_y
_atom_site_fract_z
Sc1 Sc 0.000 0.000 0.000
Ta1 Ta 0.000 0.000 0.546
Ta2 Ta 0.000 0.500 0.780
Co1 Co 0.000 0.500 0.263


In eV/atom, the uncorrected energy values for the records above are, in order, -5.538 -5.640 -1.851 -2.247 -5.557 -9.769.
In states/eV/f.u., the DOS(E_F) values for the records above are, in order, 2.8 3.0 1.8 3.9 3.2 4.7.